16
Lattice="2.472 -1.428 0.000 2.472 1.428 0.000 -1.689 0.000 19.011" Properties=species:S:1:pos:R:3 comment="Li4MnCo3O8, optimized geometry, DFT PBE+U" relative_energy_mev_per_atom=41 m_tot_mub_per_cell=2.0 volume_a3_per_fu=134.3 pbc="T T T"
Li -0.018 0.000 7.150
Li 1.633 0.000 2.441
Li 1.623 0.000 16.571
Li 3.274 0.000 11.861
Mn 0.000 0.000 0.000
Co -0.024 0.000 14.216
Co 1.628 0.000 9.506
Co 3.281 0.000 4.796
O -0.016 0.000 3.770
O -0.021 0.000 10.531
O -0.024 0.000 17.904
O 1.632 0.000 5.821
O 1.624 0.000 13.190
O 3.280 0.000 1.108
O 3.277 0.000 8.480
O 3.272 0.000 15.241